{
  "formula": "RbCu2AuCl8",
  "functional": "PBE",
  "state": "relaxed",
  "lattice_angstrom": [[-3.508, -2.219, 5.024], [6.510, -0.174, 0.242], [0.085, 8.396, 3.767]],
  "species": ["Cl", "Cl", "Cl", "Cl", "Cl", "Cl", "Cl", "Cl", "Au", "Cu", "Cu", "Rb"],
  "fractional_positions": [[0.975, 0.686, 0.337], [0.710, 0.025, 0.337], [0.686, 0.710, 0.663], [0.314, 0.290, 0.337], [0.333, 0.667, 0.970], [0.025, 0.314, 0.663], [0.667, 0.333, 0.030], [0.290, 0.975, 0.663], [0.000, 0.000, 0.500], [0.333, 0.667, 0.733], [0.667, 0.333, 0.267], [0.000, 0.000, 0.000]],
  "spacegroup": "P-3",
  "e_tot_ev_per_atom": -2.88,
  "total_magnetization_mub_per_cell": 0.00,
  "crystal_system": "trigonal"
}